This record from the Alexandria database describes a relaxed NdSmCO crystal. The functional is GGA-PBE.

Results
The value obtained for the energy relative to the elements, uncorrected is -6.02 eV per formula unit.

Structure (CIF):
```
data_NdSmCO
_chemical_formula_sum 'Nd3 Sm3 C3 O3'
_cell_length_a 3.6703
_cell_length_b 3.6703
_cell_length_c 17.8585
_cell_angle_alpha 90.00
_cell_angle_beta 90.00
_cell_angle_gamma 120.00
_space_group_name_H-M_alt 'R 3 m'
_space_group_IT_number 160
_space_group_name_Hall 'R 3 -2"'
loop_
_atom_site_label
_atom_site_type_symbol
_atom_site_fract_x
_atom_site_fract_y
_atom_site_fract_z
Nd1 Nd 0.0000 0.0000 0.0000
Sm1 Sm 0.0000 0.0000 0.5034
C1 C 0.0000 0.0000 0.2512
O1 O 0.0000 0.0000 0.7545
```



This record from the Alexandria database describes a relaxed CsZnIn crystal. The functional is GGA-PBE.

Results
The value obtained for the offset from the most stable computed form is 20 meV/atom. For the formation enthalpy at 0 K, the calculation gives -1 kJ/mol of atoms.

Structure (CIF):
```
data_CsZnIn
_chemical_formula_sum 'Cs4 Zn4 In4'
_cell_length_a 13.474
_cell_length_b 4.493
_cell_length_c 7.342
_cell_angle_alpha 90.00
_cell_angle_beta 96.42
_cell_angle_gamma 90.00
_space_group_name_H-M_alt 'C 1 2/m 1'
_space_group_IT_number 12
_space_group_name_Hall '-C 2y'
loop_
_atom_site_label
_atom_site_type_symbol
_atom_site_fract_x
_atom_site_fract_y
_atom_site_fract_z
Cs1 Cs 0.122 0.000 0.377
Zn1 Zn 0.212 0.000 0.924
In1 In 0.087 0.500 0.884
```